No. 1
## K3LiF4 (PBE)

Data for a geometry-optimized K3LiF4 structure.

The space group is Pnma (No. 62) and the conventional cell measures 7.4627, 9.1650 and 7.8750 Å, with angles of 90.00, 90.00 and 90.00 degrees. The distinct sites, in fractional coordinates, are K at (0.0450, 0.0466, 0.2138), K at (0.1370, 0.7500, 0.4288), Li at (0.2159, 0.7500, 0.9904), F at (0.0099, 0.2500, 0.9041), F at (0.1774, 0.0688, 0.5416) and F at (0.1979, 0.7500, 0.7505).

The density of states at the Fermi level comes out at 0.000 states/eV per atom. For the uncorrected formation energy, the calculation gives -21.86 eV/f.u. Its size of the total moment is 0.7 Bohr magnetons per cell.

No. 2
## Y2HoPd9 (PBE)

Data for a geometry-optimized Y2HoPd9 structure.

The space group is P4/mmm (No. 123) and the conventional cell measures 4.1278, 4.1278 and 12.3818 Å, with angles of 90.00, 90.00 and 90.00 degrees. The distinct sites, in fractional coordinates, are Y at (0.0000, 0.0000, 0.1678), Ho at (0.0000, 0.0000, 0.5000), Pd at (0.0000, 0.5000, 0.0000), Pd at (0.0000, 0.5000, 0.3348), Pd at (0.5000, 0.5000, 0.1669) and Pd at (0.5000, 0.5000, 0.5000).

The density of states at the Fermi level comes out at 0.717 states/eV per atom. The value obtained for the formation energy is -0.856 eV per atom. Its size of the total moment is 0.0 Bohr magnetons per cell.

No. 3
## HfSc2Pa (PBE)

Data for a geometry-optimized HfSc2Pa structure.

The space group is C2/m (No. 12) and the conventional cell measures 10.6237, 3.2042 and 11.4326 Å, with angles of 90.00, 99.10 and 90.00 degrees. The distinct sites, in fractional coordinates, are Hf at (0.1209, 0.0000, 0.1929), Sc at (0.1228, 0.5000, 0.4345), Sc at (0.1316, 0.0000, 0.6958) and Pa at (0.1258, 0.5000, 0.9433).

The density of states at the Fermi level comes out at 1.493 states/eV per atom. The value obtained for the formation energy is 0.061 eV per atom. Its size of the total moment is 0.0 Bohr magnetons per cell.

- What is the size of the total moment in the second record?
  0.0 Bohr magnetons per cell